[1]
# BeSbP2

Crystalline BeSbP2 at its relaxed geometry (PBE, the Alexandria database).

Structure (POSCAR):
```
BeSbP2
1.0
4.4977 0.0652 0.0390
-1.7164 4.1578 0.0390
1.3558 2.0586 3.7609
Sb Be P
1 1 2
Direct
0.5000 0.0000 0.5000
0.0000 0.5000 0.5000
0.0000 0.0000 0.0000
0.5000 0.5000 0.0000
```

Values from the calculation:
DOS at the Fermi energy in states/eV/atom: 0.4460
Distance to the lowest polymorph of the same formula in eV/f.u.: 1.380
Raw formation energy in kJ/mol of formula units: 147

---

[2]
# BeSb2P

Crystalline BeSb2P at its relaxed geometry (PBE, the Alexandria database).

Structure (POSCAR):
```
BeSb2P
1.0
6.2740 -0.0254 0.0000
3.9381 4.8841 0.0000
-5.1060 -2.4293 2.7185
Sb Be P
2 1 1
Direct
0.0000 0.0000 0.0000
0.2500 0.7500 0.5000
0.5000 0.5000 0.0000
0.7500 0.2500 0.5000
```

Values from the calculation:
DOS at the Fermi energy in states/eV/atom: 0.4734
Distance to the lowest polymorph of the same formula in eV/f.u.: 1.794
Raw formation energy in kJ/mol of formula units: 237